A relaxed structure of MgNi2Br. Source: Alexandria via LeMat-Bulk, functional GGA-PBE.

The structure in extended XYZ format:
```
4
Lattice="-2.6580 -2.8657 3.3547 -1.4906 -4.6455 -1.6519 4.0833 3.0276 0.8318" Properties=species:S:1:pos:R:3 pbc="T T T"
Mg 0.2591 -2.6867 0.0157
Ni -4.1218 -7.4625 1.6917
Ni -2.1012 -3.8043 0.8624
Br -0.3246 -1.7969 2.5189
```

DOS(E_F)   2.72 states/eV per cell
Raw formation energy   0.263 eV/atom
Magnetization   0.0 μB per cell
Energy relative to the lowest polymorph listed for this composition   1.14 eV/f.u.
Volume   15.31 A^3/atom
ρ   6.01 Mg/m³
VASP energy   -13.78 eV per cell